No. 1
A relaxed SrDy2CuO5 crystal, computed with PBE.

The calculation puts the total magnetization at 4.1 μB/cell. Its energy relative to the elements, uncorrected is -2.633 eV/atom.

It has space group I4/mcm (No. 140), with a = 6.4713 Å, b = 6.4713 Å, c = 11.4158 Å, α = 90.00°, β = 90.00° and γ = 90.00°. The asymmetric unit holds Sr at (0.0000, 0.0000, 0.2500), Dy at (0.1720, 0.3280, 0.0000), Cu at (0.0000, 0.5000, 0.2500), O at (0.0000, 0.0000, 0.0000) and O at (0.1461, 0.3539, 0.3728).



No. 2
A relaxed MgCd6Ag2 crystal, computed with PBE.

The calculation puts the total magnetization at 0.0 μB/cell. Its formation energy is -16 kJ/mol of formula units.

It has space group C2/c (No. 15), with a = 10.8437 Å, b = 11.3518 Å, c = 7.7346 Å, α = 90.00°, β = 126.01° and γ = 90.00°. The asymmetric unit holds Mg at (0.0000, 0.1832, 0.2500), Cd at (0.0495, 0.3754, 0.9793), Cd at (0.1094, 0.0860, 0.6890), Cd at (0.2248, 0.1498, 0.1371) and Ag at (0.1799, 0.3987, 0.4317).